Record 1
Ta2NiPd2S6: relaxed, PBE.

```
11
Lattice="-1.555 -5.731 -0.757 3.577 1.243 4.636 -6.530 4.580 0.292" Properties=species:S:1:pos:R:3 pbc="T T T"
Ta -1.275 1.375 3.113
Ta -3.232 -1.284 1.057
Ni -3.265 2.290 0.146
Pd -0.730 -4.611 0.109
Pd 2.753 0.123 3.770
S -2.884 -0.603 3.524
S -3.261 2.781 2.539
S -1.623 0.695 0.646
S -4.874 0.590 0.844
S -1.246 -2.690 1.632
S 0.367 -0.498 3.326
```

Properties
Crystal system: monoclinic
Energy relative to the elements, uncorrected (eV/atom): -0.55
N(E_F) (states/eV/f.u.): 7.236



Record 2
K2BeOs: relaxed, PBE.

```
8
Lattice="3.728 0.000 0.000 0.000 3.728 0.000 1.864 1.864 11.249" Properties=species:S:1:pos:R:3 pbc="T T T"
Be 1.864 1.864 0.000
Be 1.864 3.728 5.625
K 2.789 0.932 2.812
K 0.939 2.796 2.812
K 2.796 2.803 8.437
K 4.660 4.653 8.437
Os 0.000 0.000 0.000
Os 3.728 1.864 5.625
```

Properties
Energy of formation (eV per atom): 1.469
Crystal system: tetragonal
N(E_F) (states/eV/f.u.): 1.365



Summary of calculated volume in Å³/f.u.
193.3 78.2
(order as listed above)